A plane-wave DFT calculation with GGA-PBE was carried out for crystalline Al2Cd2Se at its relaxed geometry.

Properties
Formation energy (no corrections)   0.214 eV/atom

Cell: 7.515 7.515 4.005 Å, 90.00 90.00 90.00°
Fractional positions:
1 Al 0.160 0.340 0.000
2 Al 0.340 0.840 0.000
3 Al 0.660 0.160 0.000
4 Al 0.840 0.660 0.000
5 Cd 0.139 0.639 0.500
6 Cd 0.361 0.139 0.500
7 Cd 0.639 0.861 0.500
8 Cd 0.861 0.361 0.500
9 Se 0.000 0.000 0.500
10 Se 0.500 0.500 0.500


A plane-wave DFT calculation with GGA-PBE was carried out for crystalline PmPrNd2Er2 at its relaxed geometry.

Properties
Formation energy from the elements   66 meV/atom

Cell: 7.070 9.938 5.739 Å, 90.00 90.00 90.00°
Fractional positions:
1 Pm 0.000 0.000 0.000
2 Pm 0.500 0.500 0.500
3 Pr 0.000 0.500 0.500
4 Pr 0.500 0.000 0.000
5 Nd 0.249 0.167 0.500
6 Nd 0.251 0.667 0.000
7 Nd 0.749 0.333 0.000
8 Nd 0.751 0.833 0.500
9 Er 0.250 0.333 0.000
10 Er 0.250 0.833 0.500
11 Er 0.750 0.167 0.500
12 Er 0.750 0.667 0.000


A plane-wave DFT calculation with GGA-PBE was carried out for crystalline Cs2CaHgBi2 at its relaxed geometry.

Properties
Formation energy from the elements   -495 meV/atom

Cell: 10.571 10.571 10.571 Å, 138.87 60.78 137.31°
Fractional positions:
1 Cs 0.173 0.233 0.406
2 Cs 0.327 0.733 0.060
3 Cs 0.673 0.267 0.940
4 Cs 0.827 0.767 0.594
5 Ca 0.250 0.750 0.500
6 Ca 0.750 0.250 0.500
7 Hg 0.250 0.250 0.000
8 Hg 0.750 0.750 0.000
9 Bi 0.096 0.759 0.855
10 Bi 0.404 0.259 0.663
11 Bi 0.596 0.741 0.337
12 Bi 0.904 0.241 0.145


Number 1: final energy -2.346 eV/atom. Number 2: final energy -4.632 eV/atom. Number 3: final energy -2.457 eV/atom.